(1)
Below is a relaxed structure of TlSb2Au4, with properties calculated at the PBE level.

For the formation energy (no corrections), the calculation gives -0.0184 eV per atom. The final energy comes out at -3.407 eV/atom.

a = 5.3777 Å, b = 7.1276 Å, c = 17.8919 Å
α = 90.00°, β = 90.00°, γ = 105.26°
Sites, in units of the cell vectors:
Au 0.1653 0.3469 0.0478
Sb 0.2009 0.7463 0.5457
Au 0.4040 0.6903 0.6826
Au 0.8173 0.7813 0.7955
Sb 0.7991 0.2537 0.4543
Au 0.1871 0.0286 0.9387
Au 0.1827 0.2187 0.2045
Tl 0.8167 0.0289 0.6285
Au 0.3173 0.2813 0.7045
Sb 0.2991 0.7537 0.0457
Au 0.9040 0.1903 0.8174
Au 0.8347 0.6531 0.9522
Au 0.3347 0.1531 0.5478
Sb 0.6392 0.0197 0.2076
Sb 0.3608 0.9803 0.7924
Au 0.6871 0.5286 0.5613
Sb 0.1392 0.5197 0.2924
Au 0.0960 0.8097 0.1826
Au 0.6827 0.7187 0.2955
Au 0.6653 0.8469 0.4522
Tl 0.1833 0.9711 0.3715
Sb 0.7009 0.2463 0.9543
Au 0.8129 0.9714 0.0613
Tl 0.3167 0.5289 0.8715
Tl 0.6833 0.4711 0.1285
Au 0.5960 0.3097 0.3174
Au 0.3129 0.4714 0.4387
Sb 0.8608 0.4803 0.7076



(2)
Below is a relaxed structure of Tl5SbAu4, with properties calculated at the PBE level.

For the formation energy (no corrections), the calculation gives -0.0201 eV per atom. The final energy comes out at -2.926 eV/atom.

a = 4.1589 Å, b = 7.9013 Å, c = 10.3213 Å
α = 125.02°, β = 101.62°, γ = 90.00°
Sites, in units of the cell vectors:
Au 0.3641 0.0317 0.7282
Tl 0.8220 0.2320 0.6440
Au 0.6359 0.9683 0.2718
Sb 0.5000 0.0000 0.0000
Tl 0.1854 0.2958 0.3708
Tl 0.5000 0.5000 0.0000
Au 0.0362 0.2935 0.0724
Tl 0.8146 0.7042 0.6292
Au 0.9638 0.7065 0.9276
Tl 0.1780 0.7680 0.3560



(3)
Below is a relaxed structure of Tl5SbAu, with properties calculated at the PBE level.

For the formation energy (no corrections), the calculation gives 0.0101 eV per atom. The final energy comes out at -2.737 eV/atom.

a = 4.5171 Å, b = 7.2696 Å, c = 13.6000 Å
α = 86.43°, β = 90.00°, γ = 90.00°
Sites, in units of the cell vectors:
Sb 0.2500 0.4377 0.3481
Tl 0.2500 0.8259 0.0599
Au 0.2500 0.9521 0.8452
Tl 0.7500 0.9846 0.6894
Tl 0.2500 0.7393 0.5118
Tl 0.2500 0.3458 0.7597
Tl 0.2500 0.0154 0.3106
Tl 0.7500 0.6505 0.8900
Sb 0.7500 0.5623 0.6519
Tl 0.7500 0.2607 0.4882
Tl 0.7500 0.1741 0.9401
Au 0.7500 0.0479 0.1548
Tl 0.7500 0.6542 0.2403
Tl 0.2500 0.3495 0.1100